--- 1 ---
The following is a GGA-PBE calculation of a relaxed structure of YSbOsI2, from Alexandria via LeMat-Bulk.

Summary:
Space-group type: P4/mmm (123)
V: 30.2 Å³ per atom

a = 5.423 Å, b = 5.423 Å, c = 5.135 Å
α = 90.00°, β = 90.00°, γ = 90.00°
Sites, in units of the cell vectors:
I1 0.500 0.000 0.000
I2 0.000 0.500 0.000
Os1 0.000 0.000 0.000
Sb1 0.000 0.000 0.500
Y1 0.500 0.500 0.500

***

--- 2 ---
The following is a GGA-PBE calculation of a relaxed structure of YSbOsI2, from Alexandria via LeMat-Bulk.

Summary:
Space-group type: P4/mmm (123)
V: 41.6 Å³ per atom

a = 5.804 Å, b = 5.804 Å, c = 6.178 Å
α = 90.00°, β = 90.00°, γ = 90.00°
Site moments in Bohr magnetons follow the coordinates.
Sites, in units of the cell vectors:
Os1 0.500 0.500 0.500  3.29
Sb1 0.000 0.000 0.500  -0.06
I1 0.500 0.000 0.000  0.01
I2 0.000 0.500 0.000  0.01
Y1 0.000 0.000 0.000  0.03

***

Stability check: which of them is most stable? 1.

***

--- 1 ---
The following is a GGA-PBE calculation of a relaxed structure of Sc3OsI, from Alexandria via LeMat-Bulk.

Summary:
Space-group type: Pm-3m (221)
V: 26.5 Å³ per atom

a = 5.099 Å, b = 5.099 Å, c = 5.099 Å
α = 90.00°, β = 90.00°, γ = 90.00°
Site moments in Bohr magnetons follow the coordinates.
Sites, in units of the cell vectors:
Os1 0.500 0.500 0.500  1.49
Sc1 0.500 0.000 0.000  -0.06
Sc2 0.000 0.500 0.000  0.01
Sc3 0.000 0.000 0.500  0.00
I1 0.000 0.000 0.000  0.01

***

--- 2 ---
The following is a GGA-PBE calculation of a relaxed structure of Sc3OsI, from Alexandria via LeMat-Bulk.

Summary:
Space-group type: Pm-3m (221)
V: 27.0 Å³ per atom

a = 5.129 Å, b = 5.129 Å, c = 5.129 Å
α = 90.00°, β = 90.00°, γ = 90.00°
Sites, in units of the cell vectors:
Sc1 0.500 0.000 0.000
Sc2 0.000 0.000 0.500
Sc3 0.000 0.500 0.000
Os1 0.000 0.000 0.000
I1 0.500 0.500 0.500

***

Stability check: which of them is most stable? 2.

***

--- 1 ---
The following is a GGA-PBE calculation of a relaxed structure of ScOs2I, from Alexandria via LeMat-Bulk.

Summary:
Space-group type: Fm-3m (225)
V: 17.6 Å³ per atom

a = 4.636 Å, b = 4.636 Å, c = 4.636 Å
α = 60.00°, β = 60.00°, γ = 60.00°
Sites, in units of the cell vectors:
Os1 0.750 0.750 0.750
Os2 0.250 0.250 0.250
Sc1 0.000 0.000 0.000
I1 0.500 0.500 0.500

***

--- 2 ---
The following is a GGA-PBE calculation of a relaxed structure of ScOs2I, from Alexandria via LeMat-Bulk.

Summary:
Space-group type: I-42d (122)
V: 20.4 Å³ per atom

a = 3.908 Å, b = 3.908 Å, c = 11.017 Å
α = 79.78°, β = 79.78°, γ = 90.00°
Sites, in units of the cell vectors:
I1 0.000 0.000 0.000
I2 0.750 0.250 0.500
Sc1 0.250 0.750 0.500
Sc2 0.500 0.500 0.000
Os1 0.058 0.625 0.250
Os2 0.692 0.125 0.250
Os3 0.875 0.942 0.750
Os4 0.375 0.308 0.750

***

Stability check: which of them is most stable? 1.